Entry from Alexandria via LeMat-Bulk: a PBEsol-optimized structure of MgCo2Hg (meta-GGA SCAN).

```
data_MgCo2Hg
_chemical_formula_sum 'Mg1 Co2 Hg1'
_space_group_name_H-M_alt 'P 1'
_space_group_IT_number 1
_cell_length_a 2.803
_cell_length_b 3.818
_cell_length_c 5.391
_cell_angle_alpha 90.00
_cell_angle_beta 89.95
_cell_angle_gamma 90.00
loop_
_space_group_symop_operation_xyz
'x,y,z'
loop_
_atom_site_label
_atom_site_type_symbol
_atom_site_fract_x
_atom_site_fract_y
_atom_site_fract_z
Co1 Co 0.000 0.000 0.718
Co2 Co 0.000 0.000 0.282
Hg1 Hg 0.500 0.500 0.000
Mg1 Mg 0.500 0.500 0.500
```

Values from the calculation:
The calculation puts the calculated volume at 57.7 Å³ per cell. The energy of formation from the pure elements comes out at 278 meV per atom. Its symmetry is Pmmm.